# CoS2ClO

CoS2ClO at its PBEsol-relaxed geometry (meta-GGA SCAN, the Alexandria database).

Unit cell a=3.762 b=3.762 c=5.627 alpha=90.00 beta=90.00 gamma=90.00
Space group P4/mmm (No. 123)
Inequivalent atoms, fractional coordinates:
Co: 0.000 0.000 0.000 [1 per cell]
S: 0.000 0.500 0.500 [2 per cell]
Cl: 0.500 0.500 0.000 [1 per cell]
O: 0.500 0.500 0.500 [1 per cell]

Summary:
Magnetization, Bohr magnetons per cell: 2.81
Calculated density, g/cm³: 3.64
Formation energy without anion corrections, eV/atom: 0.54
Crystal system: tetragonal

=====

# Sr2CoClO3

Sr2CoClO3 at its PBEsol-relaxed geometry (meta-GGA SCAN, the Alexandria database).

Unit cell a=3.785 b=3.785 c=14.585 alpha=90.00 beta=90.00 gamma=90.00
Space group P4/nmm (No. 129, origin choice 2)
Inequivalent atoms, fractional coordinates:
Sr: 0.250 0.250 0.092 [2 per cell]
Sr: 0.250 0.250 0.339 [2 per cell]
Co: 0.250 0.250 0.790 [2 per cell]
Cl: 0.250 0.250 0.577 [2 per cell]
O: 0.250 0.250 0.925 [2 per cell]
O: 0.250 0.750 0.226 [4 per cell]

Summary:
Magnetization, Bohr magnetons per cell: 3.77
Calculated density, g/cm³: 5.05
Formation energy without anion corrections, eV/atom: -2.39
Crystal system: tetragonal

=====

# Co6Te3Cl2O12

Co6Te3Cl2O12 at its PBEsol-relaxed geometry (meta-GGA SCAN, the Alexandria database).

Unit cell a=8.322 b=8.322 c=18.142 alpha=90.00 beta=90.00 gamma=90.00
Space group P4_2/mbc (No. 135)
Inequivalent atoms, fractional coordinates:
Co: 0.000 0.500 0.081 [8 per cell]
Co: 0.181 0.194 0.168 [16 per cell]
Te: 0.000 0.500 0.250 [4 per cell]
Te: 0.177 0.187 0.500 [8 per cell]
Cl: 0.000 0.000 0.141 [8 per cell]
O: 0.092 0.651 0.500 [8 per cell]
O: 0.106 0.615 0.168 [16 per cell]
O: 0.155 0.312 0.076 [16 per cell]
O: 0.169 0.331 0.250 [8 per cell]

Summary:
Magnetization, Bohr magnetons per cell: 72.15
Calculated density, g/cm³: 5.28
Formation energy without anion corrections, eV/atom: -1.16
Crystal system: tetragonal

=====

# CoOsCl

CoOsCl at its PBEsol-relaxed geometry (meta-GGA SCAN, the Alexandria database).

Unit cell a=5.415 b=5.415 c=5.415 alpha=90.00 beta=90.00 gamma=90.00
Space group F-43m (No. 216)
Inequivalent atoms, fractional coordinates:
Co: 0.000 0.000 0.000 [4 per cell]
Os: 0.000 0.000 0.500 [4 per cell]
Cl: 0.250 0.250 0.750 [4 per cell]

Summary:
Magnetization, Bohr magnetons per cell: 0.00
Calculated density, g/cm³: 11.91
Formation energy without anion corrections, eV/atom: 1.77
Crystal system: cubic

=====

# Co2OsCl

Co2OsCl at its PBEsol-relaxed geometry (meta-GGA SCAN, the Alexandria database).

Unit cell a=4.424 b=4.424 c=2.636 alpha=90.00 beta=90.00 gamma=90.00
Space group P4/mmm (No. 123)
Inequivalent atoms, fractional coordinates:
Co: 0.000 0.500 0.000 [2 per cell]
Os: 0.000 0.000 0.500 [1 per cell]
Cl: 0.500 0.500 0.500 [1 per cell]

Summary:
Magnetization, Bohr magnetons per cell: 4.31
Calculated density, g/cm³: 11.05
Formation energy without anion corrections, eV/atom: 0.82
Crystal system: tetragonal
Energy above the lowest structure with this stoichiometry, kJ/mol of atoms: 0.0

=====

# Co2OsCl

Co2OsCl at its PBEsol-relaxed geometry (meta-GGA SCAN, the Alexandria database).

Unit cell a=5.795 b=5.795 c=5.795 alpha=90.00 beta=90.00 gamma=90.00
Space group F-43m (No. 216)
Inequivalent atoms, fractional coordinates:
Co: 0.000 0.000 0.000 [4 per cell]
Co: 0.250 0.250 0.250 [4 per cell]
Os: 0.000 0.000 0.500 [4 per cell]
Cl: 0.250 0.250 0.750 [4 per cell]

Summary:
Magnetization, Bohr magnetons per cell: 11.44
Calculated density, g/cm³: 11.73
Formation energy without anion corrections, eV/atom: 1.10
Crystal system: cubic
Energy above the lowest structure with this stoichiometry, kJ/mol of atoms: 26.8